The following is a DFT calculation (PBE) of crystalline ZnPdPt at its relaxed geometry.

Properties
* mass density: 13.72 g/cm³
* uncorrected energy: -4.59 eV per atom
* polymorph energy (0 for the lowest one): 7 meV per atom
* total magnetization: 0.000 μB/atom
* formation energy: -421 meV per atom
* crystal system: orthorhombic

abc: 4.058 10.815 4.047
angles: 90.00 90.00 90.00
Space group Cmcm (No. 63)
Asymmetric unit:
Zn1 0.000 0.250 0.250 [4 per cell]
Pd1 0.000 0.092 0.750 [4 per cell]
Pt1 0.000 0.408 0.750 [4 per cell]